No. 1
Ac2TbHg2 GGA-PBE relaxed; energy relative to the lowest polymorph listed for this composition = 0 meV per atom; E_form = -0.3354 eV per atom; VASP energy = -3.026 eV/atom; M_tot = 0.000 μB/atom; density of states at the Fermi level = 1.3986 states/eV per atom
1.0
8.125 0.000 0.000
0.000 8.125 0.000
0.000 0.000 5.101
Ac Tb Hg
4 2 4
direct
0.170 0.330 0.000
0.330 0.830 0.000
0.670 0.170 0.000
0.830 0.670 0.000
0.000 0.000 0.500
0.500 0.500 0.500
0.134 0.634 0.500
0.366 0.134 0.500
0.634 0.866 0.500
0.866 0.366 0.500

No. 2
AcTb6Hg2 GGA-PBE relaxed; E_form = -0.1917 eV per atom; VASP energy = -3.802 eV/atom; M_tot = 0.000 μB/atom; density of states at the Fermi level = 1.1662 states/eV per atom
1.0
6.451 -1.892 0.000
6.451 1.892 0.000
-3.779 0.000 11.443
Ac Tb Hg
1 6 2
direct
0.000 0.000 0.000
0.013 0.013 0.341
0.308 0.308 0.128
0.314 0.314 0.420
0.686 0.686 0.580
0.692 0.692 0.872
0.987 0.987 0.659
0.345 0.345 0.770
0.655 0.655 0.230

No. 3
Ac2Tb3Hg2 GGA-PBE relaxed; energy relative to the lowest polymorph listed for this composition = 8 meV per atom; E_form = -0.2044 eV per atom; VASP energy = -3.449 eV/atom; M_tot = 0.001 μB/atom; density of states at the Fermi level = 1.1783 states/eV per atom
1.0
3.813 0.000 0.000
0.000 32.290 0.000
0.000 0.000 3.739
Ac Tb Hg
4 6 4
direct
0.000 0.196 0.000
0.000 0.804 0.000
0.500 0.304 0.000
0.500 0.696 0.000
0.000 0.072 0.000
0.000 0.500 0.500
0.000 0.928 0.000
0.500 0.000 0.500
0.500 0.428 0.000
0.500 0.572 0.000
0.000 0.374 0.500
0.000 0.626 0.500
0.500 0.126 0.500
0.500 0.874 0.500

No. 4
AcTbHg4 GGA-PBE relaxed; energy relative to the lowest polymorph listed for this composition = 0 meV per atom; E_form = -0.4047 eV per atom; VASP energy = -2.062 eV/atom; M_tot = 0.000 μB/atom; density of states at the Fermi level = 0.8068 states/eV per atom
1.0
3.632 0.000 0.000
0.000 5.097 0.000
0.000 0.000 8.754
Ac Tb Hg
1 1 4
direct
0.000 0.000 0.000
0.000 0.500 0.500
0.500 0.000 0.339
0.500 0.000 0.661
0.500 0.500 0.177
0.500 0.500 0.823